# PBE-GGA TaTiOsPdPb, relaxed
# Energy relative to the elements, eV per formula unit: -0.40
# Polymorph energy (0 for the lowest one), meV per atom: 116.6
# Calculated total energy, eV for the cell shown: -80.55
# Crystal system: monoclinic
data_TaTiOsPdPb
_chemical_formula_sum 'Ta2 Ti2 Os2 Pd2 Pb2'
_cell_length_a 9.3941
_cell_length_b 3.2014
_cell_length_c 7.1313
_cell_angle_alpha 90.00
_cell_angle_beta 122.47
_cell_angle_gamma 90.00
_symmetry_space_group_name_H-M 'C 1 m 1'
_symmetry_Int_Tables_number 8
loop_
_symmetry_equiv_pos_as_xyz
'x,y,z'
'x,-y,z'
'x+1/2,y+1/2,z'
'x+1/2,-y+1/2,z'
loop_
_atom_site_label
_atom_site_type_symbol
_atom_site_fract_x
_atom_site_fract_y
_atom_site_fract_z
Ta1 Ta 0.0000 0.0000 0.0000
Ti1 Ti 0.3453 0.0000 0.4926
Os1 Os 0.2632 0.5000 0.1600
Pd1 Pd 0.0591 0.5000 0.3432
Pb1 Pb 0.1720 0.0000 0.7451